# Si2Tc2Ni (PBE, relaxed)
data_Si2Tc2Ni
_cell_length_a 5.9141
_cell_length_b 5.9141
_cell_length_c 3.7024
_cell_angle_alpha 90.00
_cell_angle_beta 90.00
_cell_angle_gamma 90.00
_space_group_name_H-M_alt 'P 4/m b m'
_space_group_IT_number 127
_space_group_name_Hall '-P 4 2ab'
loop_
_atom_site_label
_atom_site_type_symbol
_atom_site_fract_x
_atom_site_fract_y
_atom_site_fract_z
Si1 Si 0.1404 0.3596 0.0000
Tc1 Tc 0.1702 0.6702 0.5000
Ni1 Ni 0.0000 0.0000 0.0000
# total energy = -77.8 eV/cell